Entry 1:
Here is an optimized crystal structure of K2MnP2S6 from the Alexandria database. Energies are from PBE. Values from VASP.

Cell and atoms, written as Quantum ESPRESSO input:
```
&SYSTEM
  ibrav = 0, nat = 11, ntyp = 4
/
ATOMIC_SPECIES
K 39.10 K.upf
Mn 54.94 Mn.upf
P 30.97 P.upf
S 32.06 S.upf
CELL_PARAMETERS angstrom
3.390 1.957 6.633
-3.390 1.957 6.633
0.000 -3.915 6.633
ATOMIC_POSITIONS crystal
K 0.232 0.232 0.232
K 0.768 0.768 0.768
Mn 0.000 0.000 0.000
P 0.441 0.441 0.441
P 0.559 0.559 0.559
S 0.241 0.749 0.749
S 0.251 0.251 0.759
S 0.251 0.759 0.251
S 0.749 0.241 0.749
S 0.749 0.749 0.241
S 0.759 0.251 0.251
```

Computed properties:
Fermi-level density of states: 0.049 states/eV/atom
Raw formation energy: -57 kJ per mole of atoms
Crystal system: trigonal
Symmetry: No. 166
Size of the total moment: 0.454 μB/atom
Electronic total energy: -4.857 eV per atom
Energy above the most stable polymorph in this dataset: 122.1 meV/atom

---

Entry 2:
Here is an optimized crystal structure of KMnPS2 from the Alexandria database. Energies are from PBE. Values from VASP.

Cell and atoms, written as Quantum ESPRESSO input:
```
&SYSTEM
  ibrav = 0, nat = 5, ntyp = 4
/
ATOMIC_SPECIES
K 39.10 K.upf
Mn 54.94 Mn.upf
P 30.97 P.upf
S 32.06 S.upf
CELL_PARAMETERS angstrom
4.804 0.000 0.000
0.000 4.804 0.000
0.000 0.000 4.479
ATOMIC_POSITIONS crystal
K 0.000 0.000 0.000
Mn 0.500 0.500 0.500
P 0.500 0.500 0.000
S 0.000 0.500 0.500
S 0.500 0.000 0.500
```

Computed properties:
Fermi-level density of states: 0.691 states/eV/atom
Raw formation energy: -19 kJ per mole of atoms
Crystal system: tetragonal
Symmetry: No. 123
Size of the total moment: 0.505 μB/atom
Electronic total energy: -4.985 eV per atom
Energy above the most stable polymorph in this dataset: 0.0 meV/atom